# 1
A crystal of MgTa2Tl relaxed with PBEsol, computed with meta-GGA SCAN.

a b c (Å): 3.001 3.001 10.164
angles (deg): 81.51 81.51 60.00
Element x y z (fractional)
Mg: 0.000 0.000 0.000
Ta: 0.249 0.249 0.252
Ta: 0.751 0.751 0.748
Tl: 0.500 0.500 0.500

Output
For the total moment, the calculation gives 0.000 Bohr magnetons per cell. The value obtained for the energy is -52.131 eV/atom. For the formation energy, the calculation gives 0.49 eV per atom.

=====

# 2
A crystal of MgTa2Tl relaxed with PBEsol, computed with meta-GGA SCAN.

a b c (Å): 2.992 2.992 9.444
angles (deg): 90.00 90.00 110.36
Element x y z (fractional)
Mg: 0.500 0.500 0.240
Ta: 0.000 0.000 0.988
Ta: 0.500 0.500 0.766
Tl: 0.000 0.000 0.505

Output
For the total moment, the calculation gives 0.000 Bohr magnetons per cell. The value obtained for the energy is -52.415 eV/atom. For the formation energy, the calculation gives 0.21 eV per atom.

=====

# 3
A crystal of Mg2TaTl relaxed with PBEsol, computed with meta-GGA SCAN.

a b c (Å): 3.400 4.700 5.763
angles (deg): 114.07 107.16 90.00
Element x y z (fractional)
Mg: 0.007 0.007 0.013
Mg: 0.244 0.744 0.488
Ta: 0.497 0.497 0.994
Tl: 0.752 0.252 0.505

Output
For the total moment, the calculation gives 0.000 Bohr magnetons per cell. The value obtained for the energy is -36.859 eV/atom. For the formation energy, the calculation gives 0.36 eV per atom.

=====

# 4
A crystal of MgTaW2 relaxed with PBEsol, computed with meta-GGA SCAN.

a b c (Å): 3.878 3.878 5.189
angles (deg): 111.95 111.95 90.00
Element x y z (fractional)
Mg: 0.500 0.500 0.000
Ta: 0.000 0.000 0.000
W: 0.750 0.250 0.500
W: 0.250 0.750 0.500

Output
For the total moment, the calculation gives 0.000 Bohr magnetons per cell. The value obtained for the energy is -52.266 eV/atom. For the formation energy, the calculation gives 0.47 eV per atom.

=====

# 5
A crystal of MgTaW2 relaxed with PBEsol, computed with meta-GGA SCAN.

a b c (Å): 2.695 2.695 9.380
angles (deg): 90.00 90.00 90.00
Element x y z (fractional)
Mg: 0.000 0.000 0.491
Ta: 0.500 0.500 0.758
W: 0.000 0.000 0.004
W: 0.500 0.500 0.246

Output
For the total moment, the calculation gives 0.000 Bohr magnetons per cell. The value obtained for the energy is -52.315 eV/atom. For the formation energy, the calculation gives 0.42 eV per atom.

=====

# 6
A crystal of MgTaW2 relaxed with PBEsol, computed with meta-GGA SCAN.

a b c (Å): 2.813 2.813 10.100
angles (deg): 82.00 82.00 60.00
Element x y z (fractional)
Mg: 0.498 0.498 0.506
Ta: 0.252 0.252 0.245
W: 0.002 0.002 0.994
W: 0.748 0.748 0.755

Output
For the total moment, the calculation gives 0.000 Bohr magnetons per cell. The value obtained for the energy is -52.237 eV/atom. For the formation energy, the calculation gives 0.50 eV per atom.